{
  "formula": "CaGa2I4",
  "functional": "GGA-PBE",
  "state": "relaxed",
  "raw_formation_energy_mev_per_atom": -862.5,
  "cell": [[-3.1237, -1.5966, 2.9227], [4.4223, -1.2262, 7.6128], [1.1923, 6.7624, 4.9592]],
  "species": ["I", "I", "I", "I", "Ca", "Ga", "Ga"],
  "fractional_positions": [[0.1211, 0.7571, 0.4221], [0.8789, 0.2429, 0.5779], [0.6206, 0.7577, 0.9749], [0.3794, 0.2423, 0.0251], [0.0000, 0.0000, 0.0000], [0.7287, 0.5415, 0.7028], [0.2713, 0.4585, 0.2972]]
}